Run i
BaSr3Sn2, relaxed, DFT PBE; volume = 40.2 Å³ per atom; D(E_F) = 0.02 states/eV/atom; magnetic moment = 0.000 μB per formula unit
1.0
-2.560 3.431 3.341
-7.658 -2.477 -3.324
-0.675 -7.359 7.039
Ba Sr Sn
2 6 4
direct
0.500 0.522 0.570
0.500 0.022 0.430
0.000 0.477 0.929
0.000 0.977 0.071
0.500 0.651 0.173
0.500 0.151 0.827
0.000 0.349 0.320
0.000 0.849 0.680
0.500 0.757 0.860
0.500 0.257 0.140
0.000 0.244 0.645
0.000 0.744 0.355


Run ii
BaSr3Sn2, relaxed, DFT PBE; volume = 46.8 Å³ per atom; D(E_F) = 0.54 states/eV/atom; magnetic moment = 0.000 μB per formula unit
1.0
8.258 0.000 0.000
0.000 8.196 0.000
-4.129 -4.098 8.302
Ba Sr Sn
2 6 4
direct
0.000 0.500 0.000
0.000 0.000 0.000
0.500 0.250 0.000
0.500 0.750 0.000
0.761 0.011 0.523
0.239 0.489 0.477
0.239 0.989 0.477
0.761 0.511 0.523
0.573 0.361 0.723
0.850 0.139 0.277
0.150 0.861 0.723
0.427 0.639 0.277


Which is the most stable structure? run i is the most stable.